Pm2DyInN after structural relaxation. Source: Alexandria, functional PBE.

Output
symmetry: P4/mmm (123)
size of the total moment: 0.000 μB/f.u.
raw formation energy: -0.9262 eV/atom

Cell: 4.824 4.996 4.996 Å, 90.00 90.00 90.00°
Element x y z (fractional)
1 Dy 0.500 0.000 0.000
2 Pm 0.000 0.500 0.000
3 Pm 0.000 0.000 0.500
4 N 0.000 0.000 0.000
5 In 0.500 0.500 0.500